TbAl2Ni5: relaxed, GGA-PBE. Values from VASP.

Quantum ESPRESSO input file:
```
&SYSTEM
  ibrav = 0, nat = 8, ntyp = 3
/
ATOMIC_SPECIES
Al 26.98 Al.upf
Ni 58.69 Ni.upf
Tb 158.93 Tb.upf
ATOMIC_POSITIONS crystal
Al 0.242 0.258 0.258
Ni 0.367 0.823 0.443
Ni 0.633 0.177 0.557
Al 0.758 0.742 0.742
Ni 0.633 0.557 0.177
Tb 0.000 0.000 0.000
Ni 0.000 0.500 0.500
Ni 0.367 0.443 0.823
CELL_PARAMETERS angstrom
3.643 0.000 0.000
1.822 5.764 0.521
1.822 1.571 5.570
```

Calculated values
Energy of formation from the pure elements   -0.40 eV per atom
Symmetry   No. 71
Density of states at the Fermi level   4.7 states/eV per cell